[1]
DFT (PBE-GGA) results for an optimized crystal structure of MgGa6Rh4.

Output
Formation enthalpy at 0 K: -445 meV/atom

Unit cell a=6.565 b=6.565 c=6.565 alpha=121.19 beta=121.19 gamma=87.95
Positions (direct):
Mg 0.000 0.000 0.000
Ga 0.000 0.500 0.500
Ga 0.124 0.124 0.660
Ga 0.465 0.465 0.340
Ga 0.500 0.000 0.500
Ga 0.535 0.876 0.000
Ga 0.876 0.535 0.000
Rh 0.235 0.608 0.000
Rh 0.392 0.392 0.626
Rh 0.608 0.235 0.000
Rh 0.765 0.765 0.374



[2]
DFT (PBE-GGA) results for an optimized crystal structure of LiDy2Te.

Output
Energy above the lowest structure with this stoichiometry: 0 meV per atom
Formation energy without anion corrections: -0.535 eV per atom

Unit cell a=3.933 b=3.933 c=6.632 alpha=90.00 beta=90.00 gamma=90.00
Positions (direct):
Li 0.000 0.000 0.000
Dy 0.500 0.500 0.245
Dy 0.500 0.500 0.755
Te 0.000 0.000 0.500



[3]
DFT (PBE-GGA) results for an optimized crystal structure of La4PrDy.

Output
Formation enthalpy at 0 K: 18 meV/atom
Energy above the lowest structure with this stoichiometry: 0 meV per atom

Unit cell a=3.688 b=5.251 c=11.075 alpha=90.00 beta=90.00 gamma=90.00
Positions (direct):
La 0.000 0.000 0.166
La 0.000 0.000 0.834
La 0.500 0.500 0.327
La 0.500 0.500 0.673
Pr 0.000 0.000 0.500
Dy 0.500 0.500 0.000



[4]
DFT (PBE-GGA) results for an optimized crystal structure of Ac3Y3ErTe8.

Output
Formation energy without anion corrections: -1.432 eV per atom

Unit cell a=9.157 b=9.157 c=9.157 alpha=58.42 beta=58.42 gamma=58.42
Positions (direct):
Ac 0.000 0.500 0.500
Ac 0.500 0.000 0.500
Ac 0.500 0.500 0.000
Y 0.000 0.000 0.500
Y 0.000 0.500 0.000
Y 0.500 0.000 0.000
Er 0.500 0.500 0.500
Te 0.238 0.745 0.745
Te 0.242 0.242 0.242
Te 0.255 0.255 0.762
Te 0.255 0.762 0.255
Te 0.745 0.238 0.745
Te 0.745 0.745 0.238
Te 0.758 0.758 0.758
Te 0.762 0.255 0.255



[5]
DFT (PBE-GGA) results for an optimized crystal structure of CaMo2Br.

Output
Energy above the lowest structure with this stoichiometry: 1005 meV per atom
Formation energy without anion corrections: 1.017 eV per atom

Unit cell a=3.691 b=3.691 c=6.147 alpha=90.00 beta=90.00 gamma=90.00
Positions (direct):
Ca 0.000 0.000 0.000
Mo 0.500 0.500 0.313
Mo 0.500 0.500 0.687
Br 0.000 0.000 0.500



[6]
DFT (PBE-GGA) results for an optimized crystal structure of ErPuAu2.

Output
Formation enthalpy at 0 K: -602 meV/atom
Energy above the lowest structure with this stoichiometry: 44 meV per atom

Unit cell a=5.106 b=5.106 c=5.106 alpha=60.00 beta=60.00 gamma=60.00
Positions (direct):
Er 0.000 0.000 0.000
Pu 0.500 0.500 0.500
Au 0.250 0.250 0.250
Au 0.750 0.750 0.750



[7]
DFT (PBE-GGA) results for an optimized crystal structure of Pr4HPt2.

Output
DFT total energy: -39.25 eV per cell

Unit cell a=8.450 b=8.450 c=8.450 alpha=147.49 beta=147.49 gamma=46.63
Positions (direct):
Pr 0.000 0.500 0.500
Pr 0.187 0.187 0.000
Pr 0.500 0.000 0.500
Pr 0.813 0.813 0.000
H 0.000 0.000 0.000
Pt 0.366 0.366 0.000
Pt 0.634 0.634 0.000



[8]
DFT (PBE-GGA) results for an optimized crystal structure of HfZnTe2I.

Output
Energy above the lowest structure with this stoichiometry: 0 meV per atom
Formation energy without anion corrections: -0.122 eV per atom

Unit cell a=5.564 b=5.564 c=5.816 alpha=90.00 beta=90.00 gamma=90.00
Positions (direct):
Hf 0.000 0.000 0.000
Zn 0.500 0.500 0.500
Te 0.000 0.500 0.000
Te 0.500 0.000 0.000
I 0.000 0.000 0.500



[9]
DFT (PBE-GGA) results for an optimized crystal structure of RbAlRh2.

Output
Formation enthalpy at 0 K: 375 meV/atom

Unit cell a=9.188 b=9.188 c=9.188 alpha=147.98 beta=147.98 gamma=45.92
Positions (direct):
Rb 0.000 0.000 0.000
Rb 0.750 0.250 0.500
Al 0.250 0.750 0.500
Al 0.500 0.500 0.000
Rh 0.365 0.625 0.240
Rh 0.375 0.615 0.740
Rh 0.385 0.125 0.760
Rh 0.875 0.635 0.260



[10]
DFT (PBE-GGA) results for an optimized crystal structure of Tl2FeTc.

Output
Formation enthalpy at 0 K: 988 meV/atom
Energy above the lowest structure with this stoichiometry: 529 meV per atom

Unit cell a=4.791 b=4.791 c=4.791 alpha=60.00 beta=60.00 gamma=60.00
Positions (direct):
Tl 0.000 0.000 0.000
Tl 0.250 0.250 0.250
Fe 0.750 0.750 0.750
Tc 0.500 0.500 0.500



[11]
DFT (PBE-GGA) results for an optimized crystal structure of Li4Sm3Tl4.

Output
Formation enthalpy at 0 K: -283 meV/atom
Energy above the lowest structure with this stoichiometry: 0 meV per atom

Unit cell a=3.540 b=4.949 c=15.737 alpha=80.98 beta=83.54 gamma=89.99
Positions (direct):
Li 0.092 0.092 0.314
Li 0.240 0.740 0.019
Li 0.760 0.260 0.981
Li 0.908 0.908 0.686
Sm 0.356 0.357 0.787
Sm 0.500 0.000 0.500
Sm 0.644 0.643 0.213
Tl 0.051 0.551 0.397
Tl 0.185 0.184 0.130
Tl 0.815 0.816 0.870
Tl 0.949 0.449 0.603



[12]
DFT (PBE-GGA) results for an optimized crystal structure of Tb2NdCd2Hg2.

Output
Formation enthalpy at 0 K: -260 meV/atom

Unit cell a=9.353 b=9.353 c=9.353 alpha=30.82 beta=30.82 gamma=30.82
Positions (direct):
Tb 0.126 0.126 0.126
Tb 0.874 0.874 0.874
Nd 0.000 0.000 0.000
Cd 0.256 0.256 0.256
Cd 0.744 0.744 0.744
Hg 0.402 0.402 0.402
Hg 0.598 0.598 0.598



Which formula does entry 6 have? ErPuAu2